PmCoAs2, relaxed, DFT GGA-PBE; space-group type = I-4m2 (119); E = -24.37 eV/cell; formation energy = -0.80 eV/atom; volume = 78.9 Å³/cell
1.0
-2.013 2.013 4.864
2.013 -2.013 4.864
2.013 2.013 -4.864
Pm Co As
1 1 2
Cartesian
0.000 0.000 0.000
2.013 0.000 2.432
0.000 0.000 3.513
0.000 0.000 6.216

Pm3CoAs, relaxed, DFT GGA-PBE; space-group type = Pm-3m (221); E = -27.23 eV/cell; formation energy = -0.25 eV/atom; volume = 137.7 Å³/cell
1.0
5.164 0.000 0.000
0.000 5.164 0.000
0.000 0.000 5.164
Pm Co As
3 1 1
Cartesian
0.000 0.000 2.582
0.000 2.582 0.000
2.582 0.000 0.000
0.000 0.000 0.000
2.582 2.582 2.582

PmCoAs2, relaxed, DFT GGA-PBE; space-group type = R-3m (166); E = -24.02 eV/cell; formation energy = -0.72 eV/atom; volume = 75.4 Å³/cell
1.0
1.963 1.133 5.649
-1.963 1.133 5.649
0.000 -2.266 5.649
Pm Co As
1 1 2
Cartesian
0.000 0.000 0.000
0.000 0.000 8.473
0.000 0.000 3.799
0.000 0.000 13.147

Pm2CoAs, relaxed, DFT GGA-PBE; space-group type = Fm-3m (225); E = -22.98 eV/cell; formation energy = -0.43 eV/atom; volume = 89.7 Å³/cell
1.0
0.000 3.553 3.553
3.553 0.000 3.553
3.553 3.553 0.000
Pm Co As
2 1 1
Cartesian
1.776 1.776 1.776
5.329 5.329 5.329
0.000 0.000 0.000
3.553 3.553 3.553

Pm2CoAs, relaxed, DFT GGA-PBE; space-group type = P4/mmm (123); E = -23.30 eV/cell; formation energy = -0.51 eV/atom; volume = 91.4 Å³/cell
1.0
3.649 0.000 0.000
0.000 3.649 0.000
0.000 0.000 6.863
Pm Co As
2 1 1
Cartesian
0.000 0.000 1.707
0.000 0.000 5.156
1.824 1.824 0.000
1.824 1.824 3.432

Pm4CoAs2, relaxed, DFT GGA-PBE; space-group type = I4/mmm (139); E = -39.62 eV/cell; formation energy = -0.60 eV/atom; volume = 190.1 Å³/cell
1.0
-2.439 2.439 7.988
2.439 -2.439 7.988
2.439 2.439 -7.988
Pm Co As
4 1 2
Cartesian
2.439 0.000 0.000
0.000 0.000 2.860
0.000 2.439 0.000
0.000 0.000 13.116
0.000 0.000 0.000
0.000 0.000 5.822
0.000 0.000 10.154

Pm2CoAs3Pt4, relaxed, DFT GGA-PBE; space-group type = P-4m2 (115); E = -62.23 eV/cell; formation energy = -0.75 eV/atom; volume = 190.1 Å³/cell
1.0
4.359 0.000 0.000
0.000 4.359 0.000
0.000 0.000 10.005
Pm Co As Pt
2 1 3 4
Cartesian
0.000 2.179 2.485
2.179 0.000 7.519
0.000 0.000 5.002
0.000 2.179 8.646
2.179 0.000 1.359
2.179 2.179 5.002
0.000 0.000 0.000
0.000 2.179 6.196
2.179 0.000 3.808
2.179 2.179 0.000

PmCoAs2Rh, relaxed, DFT GGA-PBE; space-group type = I-4m2 (119); E = -32.36 eV/cell; formation energy = -0.77 eV/atom; volume = 88.1 Å³/cell
1.0
-2.063 2.063 5.173
2.063 -2.063 5.173
2.063 2.063 -5.173
Pm Co As Rh
1 1 2 1
Cartesian
0.000 0.000 0.000
0.000 2.063 2.586
0.000 0.000 3.858
0.000 0.000 6.487
2.063 0.000 2.586

Pm2CoAs4Rh3, relaxed, DFT GGA-PBE; space-group type = P-4m2 (115); E = -65.76 eV/cell; formation energy = -0.85 eV/atom; volume = 180.8 Å³/cell
1.0
4.269 0.000 0.000
0.000 4.269 0.000
0.000 0.000 9.920
Pm Co As Rh
2 1 4 3
Cartesian
0.000 2.134 2.472
2.134 0.000 7.448
2.134 2.134 0.000
0.000 0.000 4.960
0.000 2.134 8.647
2.134 0.000 1.273
2.134 2.134 4.960
0.000 0.000 0.000
0.000 2.134 6.198
2.134 0.000 3.722

Pm2Co3As4Rh, relaxed, DFT GGA-PBE; space-group type = P-4m2 (115); E = -64.79 eV/cell; formation energy = -0.80 eV/atom; volume = 167.1 Å³/cell
1.0
4.187 0.000 0.000
0.000 4.187 0.000
0.000 0.000 9.532
Pm Co As Rh
2 3 4 1
Cartesian
0.000 2.093 2.322
2.093 0.000 7.211
0.000 2.093 8.460
2.093 0.000 1.072
2.093 2.093 4.766
0.000 0.000 0.000
0.000 2.093 6.115
2.093 0.000 3.418
2.093 2.093 0.000
0.000 0.000 4.766

Pm2CoAs3Rh4, relaxed, DFT GGA-PBE; space-group type = P-4m2 (115); E = -68.07 eV/cell; formation energy = -0.81 eV/atom; volume = 178.6 Å³/cell
1.0
4.196 0.000 0.000
0.000 4.196 0.000
0.000 0.000 10.145
Pm Co As Rh
2 1 3 4
Cartesian
0.000 2.098 2.474
2.098 0.000 7.672
2.098 2.098 0.000
0.000 0.000 0.000
0.000 2.098 6.481
2.098 0.000 3.665
0.000 0.000 5.073
0.000 2.098 8.893
2.098 0.000 1.252
2.098 2.098 5.073

Pm2Co3As4Ru, relaxed, DFT GGA-PBE; space-group type = P-4m2 (115); E = -66.19 eV/cell; formation energy = -0.75 eV/atom; volume = 166.1 Å³/cell
1.0
4.164 0.000 0.000
0.000 4.164 0.000
0.000 0.000 9.580
Pm Co As Ru
2 3 4 1
Cartesian
0.000 2.082 2.315
2.082 0.000 7.265
0.000 2.082 8.486
2.082 0.000 1.094
2.082 2.082 4.790
0.000 0.000 0.000
0.000 2.082 6.126
2.082 0.000 3.454
2.082 2.082 0.000
0.000 0.000 4.790

Q: Look up the formation energy of the second one.
A: -0.25 eV/atom

Q: Look up the E of the sixth one.
A: -39.62 eV/cell

Q: Which formula does entry 5 have?
A: Pm2CoAs

Q: Which value of volume does entry 6 give?
A: 190.1 Å³/cell